A plane-wave DFT calculation with PBE with a Hubbard U was carried out for crystalline SrMoO2F at its relaxed geometry.

ρ in g/cm³: 5.2
E_tot in eV per atom: -6.395

Unit cell a=4.2397 b=4.2397 c=4.1563 alpha=90.00 beta=90.00 gamma=90.00
Each line ends with the local moment (μB).
Positions (direct):
Sr 0.5000 0.5000 0.5000  0.01
Mo 0.0000 0.0000 0.0000  2.66
O 0.0000 0.5000 0.0000  0.07
O 0.5000 0.0000 0.0000  0.07
F 0.0000 0.0000 0.5000  0.03